Below is a relaxed CrC3Se crystal, with properties calculated at the GGA-PBEsol level.

The structure belongs to space group Pm-3m (No. 221); the cell edges are 3.856, 3.856 and 3.856 Å and the angles 90.00°, 90.00° and 90.00°. The inequivalent atoms are Cr at (0.000, 0.000, 0.000), C at (0.000, 0.000, 0.500) and Se at (0.500, 0.500, 0.500).

As for the calculated total energy: -6.5232 eV/atom. The calculation puts the uncorrected formation energy at 2.08 eV/atom. The calculation puts the energy relative to the lowest polymorph listed for this composition at 0.00 eV per formula unit. The volume is 11.47 Å³/atom.

Below is a relaxed CrC3Se crystal, with properties calculated at the GGA-PBEsol level.

The structure belongs to space group Pm-3m (No. 221); the cell edges are 3.830, 3.830 and 3.830 Å and the angles 90.00°, 90.00° and 90.00°. The inequivalent atoms are Cr at (0.000, 0.000, 0.000), C at (0.000, 0.500, 0.500) and Se at (0.500, 0.500, 0.500).

As for the calculated total energy: -5.8222 eV/atom. The calculation puts the uncorrected formation energy at 2.78 eV/atom. The calculation puts the energy relative to the lowest polymorph listed for this composition at 3.50 eV per formula unit. The volume is 11.23 Å³/atom.

Below is a relaxed CrSiC3 crystal, with properties calculated at the GGA-PBEsol level.

The structure belongs to space group Pm-3m (No. 221); the cell edges are 3.699, 3.699 and 3.699 Å and the angles 90.00°, 90.00° and 90.00°. The inequivalent atoms are Cr at (0.000, 0.000, 0.000), Si at (0.500, 0.500, 0.500) and C at (0.000, 0.500, 0.500).

As for the calculated total energy: -7.0748 eV/atom. The calculation puts the uncorrected formation energy at 1.91 eV/atom. The volume is 10.12 Å³/atom.